1.
An optimized crystal structure of Al5In, computed with PBE.

It has space group Cmmm (No. 65), with a = 4.095 Å, b = 12.668 Å, c = 4.224 Å, α = 90.00°, β = 90.00° and γ = 90.00°. The distinct sites, in fractional coordinates, are Al at (0.000, 0.000, 0.000), Al at (0.000, 0.174, 0.500), Al at (0.000, 0.327, 0.000) and In at (0.000, 0.500, 0.500).

As for the energy of formation: 9.44 kJ per mole of atoms. As for the energy above the most stable polymorph in this dataset: 19.2 meV per atom. As for the total energy: -41.7 eV/cell.

***

2.
An optimized crystal structure of AlIn2, computed with PBE.

It has space group Cm (No. 8), with a = 11.710 Å, b = 3.206 Å, c = 7.891 Å, α = 90.00°, β = 100.44° and γ = 90.00°. The distinct sites, in fractional coordinates, are Al at (0.000, 0.000, 0.000), Al at (0.147, 0.500, 0.226), In at (0.167, 0.000, 0.544), In at (0.238, 0.500, 0.905), In at (0.385, 0.000, 0.273) and In at (0.443, 0.000, 0.674).

As for the energy of formation: 10.44 kJ per mole of atoms. As for the total energy: -35.6 eV/cell.